# BeCrMo (PBE, optimized geometry)
# distance to the lowest polymorph of the same formula: 0.524 eV/atom
# DFT formation energy: 1.77 eV/f.u.
# Fermi-level density of states: 0.87 states/eV/atom
# VASP energy: -7.47 eV per atom
data_BeCrMo
_chemical_formula_sum 'Be1 Cr1 Mo1'
_cell_length_a 3.8251
_cell_length_b 3.8251
_cell_length_c 3.8251
_cell_angle_alpha 60.00
_cell_angle_beta 60.00
_cell_angle_gamma 60.00
_symmetry_space_group_name_H-M 'P 1'
_symmetry_Int_Tables_number 1
_symmetry_space_group_name_Hall 'P 1'
loop_
_atom_site_label
_atom_site_fract_x
_atom_site_fract_y
_atom_site_fract_z
Be1 0.0000 0.0000 0.0000
Cr1 0.7500 0.7500 0.7500
Mo1 0.2500 0.2500 0.2500